First-principles (GGA-PBE) data for a geometry-optimized MnVBr4 structure, as listed in Alexandria.

Properties
The density of states at the Fermi level is 0.04 states/eV per cell. The calculation puts the density at 4.2 Mg/m³. The total magnetic moment is 16.0 μB per cell. The total energy is -4.95 eV per atom. Its energy relative to the elements, uncorrected is -788 meV per atom.

Cell lengths 7.8204, 7.7386, 7.7792 Å; angles 119.83, 120.18, 90.00 degrees
Last column: magnetic moment on the atom in μB.
Atoms (fractional coordinates):
Mn 0.5000 0.0000 0.5000  4.43
Mn 0.0000 0.0000 0.5000  4.43
V 0.5000 0.5000 0.0000  2.63
V 0.5000 0.0000 0.0000  2.63
Br 0.7411 0.7494 0.4821  0.06
Br 0.2726 0.7546 0.0091  0.01
Br 0.7365 0.7546 0.0091  0.01
Br 0.7411 0.2327 0.4821  0.06
Br 0.2589 0.7673 0.5179  0.06
Br 0.7274 0.2454 0.9909  0.01
Br 0.2635 0.2454 0.9909  0.01
Br 0.2589 0.2506 0.5179  0.06